Entry 1:
Compound: Be3Cu3Au
Source: the Alexandria database
Functional: PBE
Structure: optimized geometry

Lattice parameters (Å, degrees): 4.008 6.701 6.714 119.93 90.00 90.00
Sites, in units of the cell vectors:
Be (0.750, 0.916, 0.385)
Be (0.750, 0.468, 0.083)
Be (0.750, 0.616, 0.531)
Be (0.250, 0.084, 0.615)
Be (0.250, 0.532, 0.917)
Be (0.250, 0.384, 0.469)
Cu (0.750, 0.768, 0.981)
Cu (0.750, 0.214, 0.234)
Cu (0.750, 0.020, 0.787)
Cu (0.250, 0.232, 0.019)
Cu (0.250, 0.786, 0.766)
Cu (0.250, 0.980, 0.213)
Au (0.750, 0.334, 0.667)
Au (0.250, 0.666, 0.333)

Properties
Formation energy ... -53 meV per atom
Space-group type ... P2_1/m (11)
Total energy ... -27.12 eV/f.u.

=====

Entry 2:
Compound: BeCu2Au8
Source: the Alexandria database
Functional: PBE
Structure: optimized geometry

Lattice parameters (Å, degrees): 4.039 7.766 7.321 122.04 106.01 90.00
Sites, in units of the cell vectors:
Be (0.500, 0.000, 0.000)
Cu (0.196, 0.696, 0.392)
Cu (0.804, 0.304, 0.608)
Au (0.662, 0.891, 0.324)
Au (0.338, 0.567, 0.676)
Au (0.126, 0.126, 0.252)
Au (0.000, 0.322, 0.000)
Au (0.874, 0.874, 0.748)
Au (0.662, 0.433, 0.324)
Au (0.338, 0.109, 0.676)
Au (0.000, 0.678, 0.000)

Properties
Formation energy ... 12 meV per atom
Energy above the lowest structure with this stoichiometry ... 0 meV per atom
Space-group type ... Immm (71)
Total energy ... -38.01 eV/f.u.